The following is a DFT calculation (GGA-PBEsol) of a relaxed ScCd2Ru crystal.

Cell lengths 3.084, 4.193, 5.481 Å; angles 90.00, 90.00, 90.00 degrees
Space group Pmmm (No. 47)
Unique sites:
Sc 0.000 0.000 0.000 x1
Cd 0.500 0.500 0.261 x2
Ru 0.000 0.000 0.500 x1

* spin magnetization: 0.000 Bohr magnetons per cell
* DFT total energy: -19.28 eV/cell
* E_form: -0.03 eV/atom


The following is a DFT calculation (GGA-PBEsol) of a relaxed CaHgW3 crystal.

Cell lengths 4.962, 4.962, 4.962 Å; angles 90.00, 90.00, 90.00 degrees
Space group Pm-3m (No. 221)
Unique sites:
Ca 0.000 0.000 0.000 x1
Hg 0.500 0.500 0.500 x1
W 0.000 0.500 0.500 x3

* spin magnetization: 0.001 Bohr magnetons per cell
* DFT total energy: -30.39 eV/cell
* E_form: 2.75 eV/atom


The following is a DFT calculation (GGA-PBEsol) of a relaxed KZnCo4 crystal.

Cell lengths 6.936, 6.936, 6.936 Å; angles 90.00, 90.00, 90.00 degrees
Space group F-43m (No. 216)
Unique sites:
K 0.000 0.000 0.000 x4
Zn 0.250 0.250 0.750 x4
Co 0.124 0.124 0.376 x16

* spin magnetization: 26.038 Bohr magnetons per cell
* DFT total energy: -118.46 eV/cell
* E_form: 0.67 eV/atom


The following is a DFT calculation (GGA-PBEsol) of a relaxed Tl2As crystal.

Cell lengths 11.767, 3.501, 8.169 Å; angles 90.00, 106.35, 90.00 degrees
Space group Cm (No. 8)
Unique sites:
Tl 0.000 0.000 0.000 x2
Tl 0.049 0.000 0.417 x2
Tl 0.254 0.500 0.244 x2
Tl 0.347 0.000 0.615 x2
As 0.119 0.500 0.760 x2
As 0.257 0.000 0.918 x2

* spin magnetization: 0.000 Bohr magnetons per cell
* polymorph energy (0 for the lowest one): 0.000 eV/atom
* DFT total energy: -40.89 eV/cell
* E_form: 0.05 eV/atom


The following is a DFT calculation (GGA-PBEsol) of a relaxed Nd11Sn10 crystal.

Cell lengths 11.818, 11.818, 17.400 Å; angles 90.00, 90.00, 90.00 degrees
Space group I4/mmm (No. 139)
Unique sites:
Nd 0.000 0.000 0.165 x4
Nd 0.000 0.251 0.310 x16
Nd 0.000 0.329 0.102 x16
Nd 0.175 0.175 0.500 x8
Sn 0.000 0.000 0.392 x4
Sn 0.000 0.358 0.500 x8
Sn 0.000 0.500 0.250 x4
Sn 0.127 0.127 0.000 x8
Sn 0.207 0.207 0.177 x16

* spin magnetization: 0.006 Bohr magnetons per cell
* DFT total energy: -465.05 eV/cell
* E_form: -0.80 eV/atom


The following is a DFT calculation (GGA-PBEsol) of a relaxed LiLaNb2O7 crystal.

Cell lengths 3.884, 3.884, 19.673 Å; angles 90.00, 90.00, 90.00 degrees
Space group I-4m2 (No. 119)
Unique sites:
Li 0.000 0.000 0.000 x2
La 0.000 0.500 0.250 x2
Nb 0.000 0.500 0.634 x4
O 0.000 0.000 0.156 x4
O 0.000 0.000 0.341 x4
O 0.000 0.500 0.543 x4
O 0.000 0.500 0.750 x2

* ΔE_f (raw): -30.2 eV per formula unit
* spin magnetization: 0.001 Bohr magnetons per cell
* DFT total energy: -191.74 eV/cell


The following is a DFT calculation (GGA-PBEsol) of a relaxed Ti2SiN crystal.

Cell lengths 5.954, 5.954, 6.185 Å; angles 90.00, 90.00, 90.00 degrees
Space group I-42d (No. 122)
Unique sites:
Ti 0.167 0.250 0.125 x8
Si 0.000 0.000 0.500 x4
N 0.000 0.000 0.000 x4

* ΔE_f (raw): -3.2 eV per formula unit
* spin magnetization: 0.000 Bohr magnetons per cell
* DFT total energy: -136.63 eV/cell


The following is a DFT calculation (GGA-PBEsol) of a relaxed Be2TcPb crystal.

Cell lengths 6.747, 6.747, 5.379 Å; angles 90.00, 90.00, 90.00 degrees
Space group I-42d (No. 122)
Unique sites:
Be 0.207 0.750 0.125 x8
Tc 0.000 0.000 0.000 x4
Pb 0.000 0.000 0.500 x4

* spin magnetization: 3.616 Bohr magnetons per cell
* DFT total energy: -79.77 eV/cell
* E_form: 0.83 eV/atom


The following is a DFT calculation (GGA-PBEsol) of a relaxed Ta3Tc crystal.

Cell lengths 6.462, 9.033, 4.537 Å; angles 90.00, 90.00, 90.00 degrees
Space group Cmcm (No. 63)
Unique sites:
Ta 0.000 0.122 0.250 x4
Ta 0.244 0.375 0.250 x8
Tc 0.000 0.374 0.750 x4

* spin magnetization: 0.000 Bohr magnetons per cell
* polymorph energy (0 for the lowest one): 0.033 eV/atom
* DFT total energy: -199.28 eV/cell
* E_form: -0.22 eV/atom


The following is a DFT calculation (GGA-PBEsol) of a relaxed GaTcP2O crystal.

Cell lengths 4.734, 4.734, 3.637 Å; angles 90.00, 90.00, 90.00 degrees
Space group P4/mmm (No. 123)
Unique sites:
Ga 0.000 0.000 0.000 x1
Tc 0.500 0.500 0.500 x1
P 0.000 0.500 0.500 x2
O 0.500 0.500 0.000 x1

* ΔE_f (raw): -0.7 eV per formula unit
* spin magnetization: 0.000 Bohr magnetons per cell
* DFT total energy: -32.13 eV/cell


The following is a DFT calculation (GGA-PBEsol) of a relaxed K2Sb crystal.

Cell lengths 3.617, 5.387, 10.618 Å; angles 90.00, 90.00, 90.00 degrees
Space group Immm (No. 71)
Unique sites:
K 0.000 0.000 0.155 x4
Sb 0.000 0.000 0.500 x2

* ΔE_f (raw): -1.0 eV per formula unit
* spin magnetization: 0.000 Bohr magnetons per cell
* polymorph energy (0 for the lowest one): 0.058 eV/atom
* DFT total energy: -15.68 eV/cell


The following is a DFT calculation (GGA-PBEsol) of a relaxed SrCaOs2 crystal.

Cell lengths 5.729, 9.700, 2.883 Å; angles 90.00, 111.55, 90.00 degrees
Space group C2/m (No. 12)
Unique sites:
Sr 0.000 0.000 0.000 x2
Ca 0.000 0.500 0.000 x2
Os 0.250 0.250 0.500 x4

* spin magnetization: 0.000 Bohr magnetons per cell
* polymorph energy (0 for the lowest one): 0.070 eV/atom
* DFT total energy: -49.00 eV/cell
* E_form: 0.98 eV/atom


The following is a DFT calculation (GGA-PBEsol) of a relaxed CaAl2H8 crystal.

Cell lengths 14.5427, 14.5427, 5.8689 Å; angles 90.00, 90.00, 120.00 degrees
Space group P-3 (No. 147)
Unique sites:
Ca 0.0000 0.0000 0.0000 x1
Ca 0.0364 0.6782 0.2539 x6
Ca 0.3333 0.6667 0.4793 x2
Al 0.0902 0.8415 0.7337 x6
Al 0.1210 0.5867 0.7522 x6
Al 0.1241 0.4284 0.2195 x6
H 0.0030 0.4866 0.7027 x6
H 0.0183 0.7538 0.9294 x6
H 0.0344 0.3850 0.4155 x6
H 0.0348 0.8015 0.4847 x6
H 0.0517 0.1355 0.7849 x6
H 0.0737 0.4416 0.9829 x6
H 0.1291 0.3427 0.7351 x6
H 0.1325 0.6559 0.9791 x6
H 0.1557 0.6681 0.5220 x6
H 0.1708 0.3485 0.1990 x6
H 0.2152 0.5510 0.2598 x6
H 0.2191 0.5604 0.7394 x6

* spin magnetization: 0.000 Bohr magnetons per cell
* polymorph energy (0 for the lowest one): 0.031 eV/atom
* DFT total energy: -343.01 eV/cell


The following is a DFT calculation (GGA-PBEsol) of a relaxed ZnAu3 crystal.

Cell lengths 2.9188, 2.9188, 8.8130 Å; angles 90.00, 90.00, 120.00 degrees
Space group P-6m2 (No. 187)
Unique sites:
Zn 0.0000 0.0000 0.0000 x1
Au 0.0000 0.0000 0.5000 x1
Au 0.3333 0.6667 0.2329 x2

* spin magnetization: 0.000 Bohr magnetons per cell
* DFT total energy: -13.72 eV/cell
* E_form: -0.09 eV/atom


The following is a DFT calculation (GGA-PBEsol) of a relaxed KZnCr crystal.

Cell lengths 3.2828, 3.2828, 7.6595 Å; angles 90.00, 90.00, 120.00 degrees
Space group P3m1 (No. 156)
Unique sites:
K 0.0000 0.0000 0.0000 x1
Zn 0.6667 0.3333 0.6345 x1
Cr 0.3333 0.6667 0.3929 x1

* spin magnetization: 4.475 Bohr magnetons per cell
* DFT total energy: -10.07 eV/cell
* E_form: 0.96 eV/atom


The following is a DFT calculation (GGA-PBEsol) of a relaxed CrSiAu2 crystal.

Cell lengths 3.912, 3.912, 3.961 Å; angles 90.00, 90.00, 90.00 degrees
Space group P4/mmm (No. 123)
Unique sites:
Cr 0.000 0.000 0.000 x1
Si 0.500 0.500 0.000 x1
Au 0.000 0.500 0.500 x2

* ΔE_f (raw): 0.5 eV per formula unit
* spin magnetization: 2.749 Bohr magnetons per cell
* DFT total energy: -23.32 eV/cell


The following is a DFT calculation (GGA-PBEsol) of a relaxed CsBIr3 crystal.

Cell lengths 4.317, 4.317, 4.317 Å; angles 90.00, 90.00, 90.00 degrees
Space group Pm-3m (No. 221)
Unique sites:
Cs 0.000 0.000 0.000 x1
B 0.500 0.500 0.500 x1
Ir 0.000 0.500 0.500 x3

* spin magnetization: 0.000 Bohr magnetons per cell
* DFT total energy: -32.52 eV/cell
* E_form: 0.98 eV/atom


The following is a DFT calculation (GGA-PBEsol) of a relaxed LaCl crystal.

Cell lengths 3.6583, 3.6583, 12.3342 Å; angles 90.00, 90.00, 120.00 degrees
Space group R-3m (No. 166, hexagonal axes)
Unique sites:
La 0.0000 0.0000 0.0000 x3
Cl 0.0000 0.0000 0.5000 x3

* ΔE_f (raw): -3.2 eV per formula unit
* spin magnetization: 0.001 Bohr magnetons per cell
* DFT total energy: -31.77 eV/cell


The following is a DFT calculation (GGA-PBEsol) of a relaxed KBa4As crystal.

Cell lengths 10.296, 10.296, 10.296 Å; angles 90.00, 90.00, 90.00 degrees
Space group F-43m (No. 216)
Unique sites:
K 0.000 0.000 0.000 x4
Ba 0.122 0.122 0.622 x16
As 0.250 0.250 0.250 x4

* spin magnetization: 0.009 Bohr magnetons per cell
* DFT total energy: -52.12 eV/cell
* E_form: 0.30 eV/atom


The following is a DFT calculation (GGA-PBEsol) of a relaxed ScMnRe crystal.

Cell lengths 6.024, 6.024, 6.024 Å; angles 90.00, 90.00, 90.00 degrees
Space group F-43m (No. 216)
Unique sites:
Sc 0.000 0.000 0.000 x4
Mn 0.250 0.250 0.750 x4
Re 0.250 0.250 0.250 x4

* spin magnetization: 13.235 Bohr magnetons per cell
* DFT total energy: -101.12 eV/cell
* E_form: 1.47 eV/atom


The following is a DFT calculation (GGA-PBEsol) of a relaxed BeZnCl crystal.

Cell lengths 6.230, 6.230, 6.230 Å; angles 90.00, 90.00, 90.00 degrees
Space group F-43m (No. 216)
Unique sites:
Be 0.000 0.000 0.000 x4
Zn 0.000 0.000 0.500 x4
Cl 0.250 0.250 0.750 x4

* ΔE_f (raw): 2.9 eV per formula unit
* spin magnetization: 0.003 Bohr magnetons per cell
* DFT total energy: -18.56 eV/cell